(1)
A plane-wave DFT calculation with GGA-PBE was carried out for PmNdDy2Hg4 after structural relaxation.

Cell and atoms, written as extended XYZ:
```
8
Lattice="5.343 0.000 0.000 2.672 4.627 0.000 2.672 1.542 8.718" Properties=species:S:1:pos:R:3 pbc="T T T"
Hg 5.343 3.085 1.104
Pm 5.343 3.085 4.359
Hg 2.672 1.542 5.434
Hg 5.343 3.085 7.615
Nd 0.000 0.000 0.000
Hg 8.015 4.627 3.284
Dy 8.015 4.627 6.536
Dy 2.672 1.542 2.183
```

**Energy relative to the elements**: -0.470 eV/atom
**Total DFT energy (no corrections)**: -23.69 eV per formula unit
**Total magnetic moment**: 1.237 μB/cell

=====

(2)
A plane-wave DFT calculation with GGA-PBE was carried out for Pm2BeAlIr2 after structural relaxation.

Cell and atoms, written as extended XYZ:
```
12
Lattice="-2.810 -4.841 1.054 4.678 -3.062 -1.592 1.416 4.050 6.985" Properties=species:S:1:pos:R:3 pbc="T T T"
Pm 1.004 -5.154 2.251
Ir 4.859 -0.335 4.308
Ir -1.575 -3.519 2.139
Al 1.169 -0.765 -0.398
Ir 1.222 -1.039 5.591
Pm 2.279 1.301 4.197
Be 2.103 -4.717 -0.667
Pm 3.185 -2.700 3.939
Al 3.508 -2.296 -1.194
Be -0.236 -3.186 0.129
Pm 0.099 -1.153 2.509
Ir 2.062 -2.814 0.857
```

**Energy relative to the elements**: -0.670 eV/atom
**Total DFT energy (no corrections)**: -38.71 eV per formula unit
**Total magnetic moment**: 0.000 μB/cell

=====

(3)
A plane-wave DFT calculation with GGA-PBE was carried out for MnPCS after structural relaxation.

Cell and atoms, written as extended XYZ:
```
8
Lattice="7.276 0.000 -0.001 0.000 2.951 0.000 -0.253 0.000 5.305" Properties=species:S:1:pos:R:3 pbc="T T T"
C 1.055 1.475 1.539
S 4.724 0.000 2.795
S 4.850 1.475 0.142
Mn 6.020 0.000 4.612
P 0.466 1.475 5.091
P 0.592 0.000 2.438
C 0.928 0.000 4.192
Mn 6.146 1.475 1.959
```

**Total DFT energy (no corrections)**: -27.40 eV per formula unit
**Total magnetic moment**: 0.000 μB/cell

=====

(4)
A plane-wave DFT calculation with GGA-PBE was carried out for CoBi2Sb2 after structural relaxation.

Cell and atoms, written as extended XYZ:
```
10
Lattice="-0.943 -6.434 -1.007 2.052 0.672 -6.216 6.011 -1.172 1.858" Properties=species:S:1:pos:R:3 pbc="T T T"
Bi 4.374 -2.030 -4.410
Co 0.554 -2.881 -3.611
Bi 3.459 -1.607 -1.184
Sb 1.407 -1.643 -5.589
Sb -0.298 -4.118 -1.634
Bi 2.746 -4.903 -0.955
Bi 3.660 -5.326 -4.181
Co 0.000 0.000 0.000
Sb 0.552 -4.985 -4.930
Sb 0.557 -0.776 -2.293
```

**Total DFT energy (no corrections)**: -22.29 eV per formula unit
**Total magnetic moment**: 1.461 μB/cell

=====

(5)
A plane-wave DFT calculation with GGA-PBE was carried out for LiGa2I6 after structural relaxation.

Cell and atoms, written as extended XYZ:
```
9
Lattice="7.513 0.766 5.255 3.140 6.868 5.255 1.069 0.766 9.105" Properties=species:S:1:pos:R:3 pbc="T T T"
Li 3.908 2.801 6.539
Ga 7.176 5.143 12.008
Ga 8.451 6.056 14.140
I 2.802 3.559 9.302
I 9.040 4.756 10.269
I 6.034 2.981 12.826
I 6.170 1.510 8.167
I 5.576 5.357 6.874
I 5.535 7.032 11.389
```

**Total DFT energy (no corrections)**: -22.26 eV per formula unit
**Total magnetic moment**: 1.004 μB/cell

=====

(6)
A plane-wave DFT calculation with GGA-PBE was carried out for HAu3Br after structural relaxation.

Cell and atoms, written as extended XYZ:
```
5
Lattice="4.371 0.000 0.000 0.000 4.371 0.000 0.000 0.000 4.371" Properties=species:S:1:pos:R:3 pbc="T T T"
Au 2.186 0.000 0.000
Au 0.000 0.000 2.186
Au 0.000 2.186 0.000
H 0.000 0.000 0.000
Br 2.186 2.186 2.186
```

**Total DFT energy (no corrections)**: -12.58 eV per formula unit
**Total magnetic moment**: 0.000 μB/cell